# 1
# Er3Al3GeIr2 | the Open Quantum Materials Database | GGA-PBE | relaxed
# * magnetization: 0.0005 μB per atom
# * energy above the lowest structure with this stoichiometry: 0 meV per atom
# * energy: -6.019 eV per atom
data_Er3Al3GeIr2
_chemical_formula_sum 'Er3 Al3 Ge1 Ir2'
_symmetry_space_group_name_H-M 'P 1'
_symmetry_Int_Tables_number 1
_cell_length_a 7.223
_cell_length_b 7.223
_cell_length_c 3.908
_cell_angle_alpha 90.00
_cell_angle_beta 90.00
_cell_angle_gamma 120.00
loop_
_symmetry_equiv_pos_as_xyz
'x,y,z'
loop_
_atom_site_label
_atom_site_type_symbol
_atom_site_fract_x
_atom_site_fract_y
_atom_site_fract_z
_atom_site_occupancy
Er1 Er 0.000 0.405 0.500 1
Er2 Er 0.595 0.595 0.500 1
Er3 Er 0.405 0.000 0.500 1
Ge1 Ge 0.000 0.000 0.500 1
Ir1 Ir 0.667 0.333 0.000 1
Ir2 Ir 0.333 0.667 0.000 1
Al1 Al 0.729 0.000 0.000 1
Al2 Al 0.271 0.271 0.000 1
Al3 Al 0.000 0.729 0.000 1

***

# 2
# LiAgMoPt | the Open Quantum Materials Database | GGA-PBE | relaxed
# * magnetization: 0.0018 μB per atom
# * energy above the lowest structure with this stoichiometry: 16 meV per atom
# * energy: -5.322 eV per atom
data_LiAgMoPt
_chemical_formula_sum 'Li1 Ag1 Mo1 Pt1'
_symmetry_space_group_name_H-M 'P 1'
_symmetry_Int_Tables_number 1
_cell_length_a 4.437
_cell_length_b 4.437
_cell_length_c 4.437
_cell_angle_alpha 60.00
_cell_angle_beta 60.00
_cell_angle_gamma 60.00
loop_
_symmetry_equiv_pos_as_xyz
'x,y,z'
loop_
_atom_site_label
_atom_site_type_symbol
_atom_site_fract_x
_atom_site_fract_y
_atom_site_fract_z
_atom_site_occupancy
Ag1 Ag 0.000 0.000 0.000 1
Li1 Li 0.750 0.750 0.750 1
Mo1 Mo 0.250 0.250 0.250 1
Pt1 Pt 0.500 0.500 0.500 1

***

# 3
# BeGaFeHg | the Open Quantum Materials Database | GGA-PBE | relaxed
# * magnetization: 0.4885 μB per atom
# * energy above the lowest structure with this stoichiometry: 11 meV per atom
# * energy: -3.415 eV per atom
data_BeGaFeHg
_chemical_formula_sum 'Be1 Ga1 Fe1 Hg1'
_symmetry_space_group_name_H-M 'P 1'
_symmetry_Int_Tables_number 1
_cell_length_a 4.333
_cell_length_b 4.333
_cell_length_c 4.333
_cell_angle_alpha 60.00
_cell_angle_beta 60.00
_cell_angle_gamma 60.00
loop_
_symmetry_equiv_pos_as_xyz
'x,y,z'
loop_
_atom_site_label
_atom_site_type_symbol
_atom_site_fract_x
_atom_site_fract_y
_atom_site_fract_z
_atom_site_occupancy
Be1 Be 0.250 0.250 0.250 1
Fe1 Fe 0.750 0.750 0.750 1
Ga1 Ga 0.000 0.000 0.000 1
Hg1 Hg 0.500 0.500 0.500 1

***

# 4
# ScAgF3 | the Open Quantum Materials Database | GGA-PBE | relaxed
# * magnetization: 0.0261 μB per atom
# * energy above the lowest structure with this stoichiometry: 121 meV per atom
# * energy: -5.528 eV per atom
data_ScAgF3
_chemical_formula_sum 'Sc1 Ag1 F3'
_symmetry_space_group_name_H-M 'P 1'
_symmetry_Int_Tables_number 1
_cell_length_a 4.083
_cell_length_b 4.083
_cell_length_c 4.083
_cell_angle_alpha 90.00
_cell_angle_beta 90.00
_cell_angle_gamma 90.00
loop_
_symmetry_equiv_pos_as_xyz
'x,y,z'
loop_
_atom_site_label
_atom_site_type_symbol
_atom_site_fract_x
_atom_site_fract_y
_atom_site_fract_z
_atom_site_occupancy
Ag1 Ag 0.000 0.000 0.000 1
F1 F 0.500 0.500 0.000 1
F2 F 0.500 0.000 0.500 1
F3 F 0.000 0.500 0.500 1
Sc1 Sc 0.500 0.500 0.500 1

***

# 5
# Nd2GdNi2B2C3 | the Open Quantum Materials Database | GGA-PBE | relaxed
# * magnetization: 0.0004 μB per atom
# * energy: -6.928 eV per atom
data_Nd2GdNi2B2C3
_chemical_formula_sum 'Nd2 Gd1 Ni2 B2 C3'
_symmetry_space_group_name_H-M 'P 1'
_symmetry_Int_Tables_number 1
_cell_length_a 10.605
_cell_length_b 10.605
_cell_length_c 10.605
_cell_angle_alpha 159.92
_cell_angle_beta 159.92
_cell_angle_gamma 28.54
loop_
_symmetry_equiv_pos_as_xyz
'x,y,z'
loop_
_atom_site_label
_atom_site_type_symbol
_atom_site_fract_x
_atom_site_fract_y
_atom_site_fract_z
_atom_site_occupancy
B1 B 0.199 0.199 0.000 1
B2 B 0.801 0.801 0.000 1
C1 C 0.126 0.126 0.000 1
C2 C 0.500 0.500 0.000 1
C3 C 0.874 0.874 0.000 1
Gd1 Gd 0.000 0.000 0.000 1
Nd1 Nd 0.375 0.375 0.000 1
Nd2 Nd 0.625 0.625 0.000 1
Ni1 Ni 0.750 0.250 0.500 1
Ni2 Ni 0.250 0.750 0.500 1

***

# 6
# Tl2SbMo | the Open Quantum Materials Database | GGA-PBE | relaxed
# * magnetization: 0.7297 μB per atom
# * energy: -4.177 eV per atom
data_Tl2SbMo
_chemical_formula_sum 'Tl2 Sb1 Mo1'
_symmetry_space_group_name_H-M 'P 1'
_symmetry_Int_Tables_number 1
_cell_length_a 5.177
_cell_length_b 5.177
_cell_length_c 5.177
_cell_angle_alpha 60.00
_cell_angle_beta 60.00
_cell_angle_gamma 60.00
loop_
_symmetry_equiv_pos_as_xyz
'x,y,z'
loop_
_atom_site_label
_atom_site_type_symbol
_atom_site_fract_x
_atom_site_fract_y
_atom_site_fract_z
_atom_site_occupancy
Mo1 Mo 0.500 0.500 0.500 1
Sb1 Sb 0.750 0.750 0.750 1
Tl1 Tl 0.000 0.000 0.000 1
Tl2 Tl 0.250 0.250 0.250 1

***

# 7
# CsCuTe2PdSe | the Open Quantum Materials Database | GGA-PBE | relaxed
# * energy: -3.653 eV per atom
data_CsCuTe2PdSe
_chemical_formula_sum 'Cs2 Cu2 Te4 Pd2 Se2'
_symmetry_space_group_name_H-M 'P 1'
_symmetry_Int_Tables_number 1
_cell_length_a 8.295
_cell_length_b 8.295
_cell_length_c 10.923
_cell_angle_alpha 90.00
_cell_angle_beta 90.00
_cell_angle_gamma 151.52
loop_
_symmetry_equiv_pos_as_xyz
'x,y,z'
loop_
_atom_site_label
_atom_site_type_symbol
_atom_site_fract_x
_atom_site_fract_y
_atom_site_fract_z
_atom_site_occupancy
Cs1 Cs 0.244 0.756 0.250 1
Cs2 Cs 0.756 0.244 0.750 1
Cu1 Cu 0.964 0.036 0.250 1
Cu2 Cu 0.036 0.964 0.750 1
Pd1 Pd 0.500 0.500 0.000 1
Pd2 Pd 0.500 0.500 0.500 1
Se1 Se 0.544 0.456 0.250 1
Se2 Se 0.456 0.544 0.750 1
Te1 Te 0.893 0.107 0.037 1
Te2 Te 0.893 0.107 0.463 1
Te3 Te 0.107 0.893 0.537 1
Te4 Te 0.107 0.893 0.963 1

***

# 8
# LiGaPt | the Open Quantum Materials Database | GGA-PBE | relaxed
# * magnetization: 0.0018 μB per atom
# * energy: -4.371 eV per atom
data_LiGaPt
_chemical_formula_sum 'Li4 Ga4 Pt4'
_symmetry_space_group_name_H-M 'P 1'
_symmetry_Int_Tables_number 1
_cell_length_a 5.244
_cell_length_b 4.341
_cell_length_c 7.670
_cell_angle_alpha 90.00
_cell_angle_beta 90.00
_cell_angle_gamma 90.00
loop_
_symmetry_equiv_pos_as_xyz
'x,y,z'
loop_
_atom_site_label
_atom_site_type_symbol
_atom_site_fract_x
_atom_site_fract_y
_atom_site_fract_z
_atom_site_occupancy
Ga1 Ga 0.699 0.250 0.089 1
Ga2 Ga 0.199 0.250 0.411 1
Ga3 Ga 0.801 0.750 0.589 1
Ga4 Ga 0.301 0.750 0.911 1
Li1 Li 0.477 0.750 0.246 1
Li2 Li 0.977 0.750 0.254 1
Li3 Li 0.023 0.250 0.746 1
Li4 Li 0.523 0.250 0.754 1
Pt1 Pt 0.201 0.250 0.074 1
Pt2 Pt 0.701 0.250 0.426 1
Pt3 Pt 0.299 0.750 0.574 1
Pt4 Pt 0.799 0.750 0.926 1

***

# 9
# Ga2CoSe2S2 | the Open Quantum Materials Database | GGA-PBE | relaxed
# * magnetization: 0.4284 μB per atom
# * energy: -4.525 eV per atom
data_Ga2CoSe2S2
_chemical_formula_sum 'Ga2 Co1 Se2 S2'
_symmetry_space_group_name_H-M 'P 1'
_symmetry_Int_Tables_number 1
_cell_length_a 6.564
_cell_length_b 6.564
_cell_length_c 5.416
_cell_angle_alpha 113.70
_cell_angle_beta 113.70
_cell_angle_gamma 109.26
loop_
_symmetry_equiv_pos_as_xyz
'x,y,z'
loop_
_atom_site_label
_atom_site_type_symbol
_atom_site_fract_x
_atom_site_fract_y
_atom_site_fract_z
_atom_site_occupancy
Co1 Co 0.757 0.243 0.000 1
Ga1 Ga 0.253 0.747 0.000 1
Ga2 Ga 0.495 0.505 0.500 1
S1 S 0.631 0.876 0.001 1
S2 S 0.124 0.369 0.999 1
Se1 Se 0.881 0.640 0.487 1
Se2 Se 0.360 0.119 0.513 1

***

# 10
# SmSiPO | the Open Quantum Materials Database | GGA-PBE | relaxed
# * magnetization: 0.0002 μB per atom
# * energy above the lowest structure with this stoichiometry: 0 meV per atom
# * energy: -6.621 eV per atom
data_SmSiPO
_chemical_formula_sum 'Sm2 Si2 P2 O2'
_symmetry_space_group_name_H-M 'P 1'
_symmetry_Int_Tables_number 1
_cell_length_a 3.703
_cell_length_b 5.886
_cell_length_c 6.880
_cell_angle_alpha 90.00
_cell_angle_beta 90.00
_cell_angle_gamma 90.00
loop_
_symmetry_equiv_pos_as_xyz
'x,y,z'
loop_
_atom_site_label
_atom_site_type_symbol
_atom_site_fract_x
_atom_site_fract_y
_atom_site_fract_z
_atom_site_occupancy
O1 O 0.000 0.721 0.284 1
O2 O 0.000 0.279 0.784 1
P1 P 0.500 0.236 0.402 1
P2 P 0.500 0.764 0.902 1
Si1 Si 0.000 0.880 0.081 1
Si2 Si 0.000 0.120 0.581 1
Sm1 Sm 0.500 0.729 0.486 1
Sm2 Sm 0.500 0.271 0.986 1

***

# 11
# Ho3ErAl2C2 | the Open Quantum Materials Database | GGA-PBE | relaxed
# * magnetization: 0.0676 μB per atom
# * energy: -5.783 eV per atom
data_Ho3ErAl2C2
_chemical_formula_sum 'Ho3 Er1 Al2 C2'
_symmetry_space_group_name_H-M 'P 1'
_symmetry_Int_Tables_number 1
_cell_length_a 3.535
_cell_length_b 3.535
_cell_length_c 15.856
_cell_angle_alpha 90.00
_cell_angle_beta 90.00
_cell_angle_gamma 120.00
loop_
_symmetry_equiv_pos_as_xyz
'x,y,z'
loop_
_atom_site_label
_atom_site_type_symbol
_atom_site_fract_x
_atom_site_fract_y
_atom_site_fract_z
_atom_site_occupancy
Al1 Al 0.667 0.333 0.249 1
Al2 Al 0.000 0.000 0.750 1
C1 C 0.333 0.667 0.000 1
C2 C 0.333 0.667 0.500 1
Er1 Er 0.000 0.000 0.086 1
Ho1 Ho 0.000 0.000 0.414 1
Ho2 Ho 0.667 0.333 0.585 1
Ho3 Ho 0.667 0.333 0.915 1

***

# 12
# Rb2CuH6Ir | the Open Quantum Materials Database | GGA-PBE | relaxed
# * magnetization: 0.0000 μB per atom
# * energy: -3.516 eV per atom
data_Rb2CuH6Ir
_chemical_formula_sum 'Rb2 Cu1 H6 Ir1'
_symmetry_space_group_name_H-M 'P 1'
_symmetry_Int_Tables_number 1
_cell_length_a 5.566
_cell_length_b 5.566
_cell_length_c 5.566
_cell_angle_alpha 59.74
_cell_angle_beta 59.74
_cell_angle_gamma 59.74
loop_
_symmetry_equiv_pos_as_xyz
'x,y,z'
loop_
_atom_site_label
_atom_site_type_symbol
_atom_site_fract_x
_atom_site_fract_y
_atom_site_fract_z
_atom_site_occupancy
Cu1 Cu 0.000 0.000 0.000 1
H1 H 0.723 0.723 0.277 1
H2 H 0.723 0.277 0.277 1
H3 H 0.277 0.723 0.277 1
H4 H 0.723 0.277 0.723 1
H5 H 0.277 0.723 0.723 1
H6 H 0.277 0.277 0.723 1
Ir1 Ir 0.500 0.500 0.500 1
Rb1 Rb 0.250 0.250 0.250 1
Rb2 Rb 0.750 0.750 0.750 1